Compound: TlFeSb2I
Source: Alexandria
Functional: PBE
Structure: relaxed

Results
The value obtained for the relative energy among the computed polymorphs is 88.5 kJ per mole of atoms. The uncorrected formation energy is 5.83 eV per formula unit. As for the symmetry: P4/mmm (123).

a b c (Å): 6.032 4.594 6.032
angles (deg): 90.00 90.00 90.00
Fractional positions:
Sb  0.000  0.000  0.500
Fe  0.000  0.500  0.000
I  0.000  0.000  0.000
Tl  0.500  0.500  0.500
Sb  0.500  0.000  0.000


Compound: PmSm7Ho4
Source: Alexandria
Functional: PBE
Structure: relaxed

Results
The value obtained for the relative energy among the computed polymorphs is 20.3 kJ per mole of atoms. As for the symmetry: C2/m (12). As for the energy relative to the elements: 0.213 eV per atom.

a b c (Å): 5.957 9.715 8.574
angles (deg): 61.45 69.67 72.15
Fractional positions:
Sm  0.785  0.883  0.547
Ho  0.572  0.302  0.554
Ho  0.329  0.385  0.956
Sm  0.789  0.237  0.186
Ho  0.428  0.698  0.446
Sm  0.215  0.117  0.453
Pm  0.000  0.000  0.000
Sm  0.500  0.000  0.000
Ho  0.671  0.615  0.044
Sm  0.915  0.449  0.721
Sm  0.085  0.551  0.279
Sm  0.211  0.763  0.814


Compound: LaGdSnPt
Source: Alexandria
Functional: PBE
Structure: relaxed

Results
As for the symmetry: F-43m (216). As for the energy relative to the elements: -0.818 eV per atom.

a b c (Å): 5.304 5.304 5.304
angles (deg): 60.00 60.00 60.00
Fractional positions:
Pt  0.750  0.750  0.750
Gd  0.000  0.000  0.000
La  0.500  0.500  0.500
Sn  0.250  0.250  0.250